{"formula": "SrPaVO5", "functional": "PBE+U", "state": "optimized geometry", "sg": "C2/c, No. 15", "final_energy_ev_per_atom": -8.39, "lattice_angstrom": [[6.153, -0.008, -0.073], [-1.803, 5.883, -0.073], [-1.884, -2.545, 7.402]], "species": ["O", "O", "O", "O", "O", "O", "O", "O", "O", "O", "Sr", "Sr", "Pa", "Pa", "V", "V"], "fractional_positions": [[0.308, 0.898, 0.613], [0.635, 0.737, 0.909], [0.919, 0.081, 0.750], [0.102, 0.692, 0.887], [0.898, 0.308, 0.113], [0.263, 0.365, 0.591], [0.081, 0.919, 0.250], [0.692, 0.102, 0.387], [0.365, 0.263, 0.091], [0.737, 0.635, 0.409], [0.332, 0.668, 0.250], [0.668, 0.332, 0.750], [0.000, 0.000, 0.500], [0.000, 0.000, 0.000], [0.682, 0.318, 0.250], [0.318, 0.682, 0.750]]}